(1)
# FePCl2 (GGA-PBE, relaxed)
# Crystal system: orthorhombic
# DFT total energy (Ry/atom): -0.2944
# Volume (Å³ per atom): 18.5
# Relative energy among the computed polymorphs (meV/atom): 859.8
# Formation energy without anion corrections (eV per atom): 0.39
data_FePCl2
_chemical_formula_sum 'Fe2 P2 Cl4'
_cell_length_a 5.869
_cell_length_b 6.393
_cell_length_c 3.938
_cell_angle_alpha 90.00
_cell_angle_beta 90.00
_cell_angle_gamma 90.00
_symmetry_space_group_name_H-M 'C m m m'
_symmetry_Int_Tables_number 65
_symmetry_space_group_name_Hall '-C 2 2'
loop_
_atom_site_label
_atom_site_fract_x
_atom_site_fract_y
_atom_site_fract_z
Fe1 0.000 0.000 0.000
P1 0.000 0.500 0.000
Cl1 0.000 0.230 0.500

=====

(2)
# FeP2Cl (GGA-PBE, relaxed)
# Crystal system: monoclinic
# DFT total energy (Ry/atom): -0.3835
# Volume (Å³ per atom): 17.8
# Relative energy among the computed polymorphs (meV/atom): 277.7
# Formation energy without anion corrections (eV per atom): 0.06
data_FeP2Cl
_chemical_formula_sum 'Fe1 P2 Cl1'
_cell_length_a 3.555
_cell_length_b 4.312
_cell_length_c 4.929
_cell_angle_alpha 90.00
_cell_angle_beta 109.76
_cell_angle_gamma 90.00
_symmetry_space_group_name_H-M 'P 1 2/m 1'
_symmetry_Int_Tables_number 10
loop_
_symmetry_equiv_pos_as_xyz
'x,y,z'
'-x,-y,-z'
'-x,y,-z'
'x,-y,z'
loop_
_atom_site_label
_atom_site_fract_x
_atom_site_fract_y
_atom_site_fract_z
Fe1 0.000 0.000 0.000
P1 0.321 0.500 0.148
Cl1 0.000 0.000 0.500

=====

(3)
# FePCl2 (GGA-PBE, relaxed)
# Crystal system: cubic
# DFT total energy (Ry/atom): -0.2705
# Volume (Å³ per atom): 17.0
# Relative energy among the computed polymorphs (meV/atom): 1184.2
# Formation energy without anion corrections (eV per atom): 0.71
data_FePCl2
_chemical_formula_sum 'Fe4 P4 Cl8'
_cell_length_a 6.478
_cell_length_b 6.478
_cell_length_c 6.478
_cell_angle_alpha 90.00
_cell_angle_beta 90.00
_cell_angle_gamma 90.00
_symmetry_space_group_name_H-M 'F m -3 m'
_symmetry_Int_Tables_number 225
_symmetry_space_group_name_Hall '-F 4 2 3'
loop_
_atom_site_label
_atom_site_fract_x
_atom_site_fract_y
_atom_site_fract_z
Fe1 0.000 0.000 0.000
P1 0.000 0.000 0.500
Cl1 0.250 0.250 0.250

=====

(4)
# FePCl2 (GGA-PBE, relaxed)
# Crystal system: monoclinic
# DFT total energy (Ry/atom): -0.3301
# Volume (Å³ per atom): 21.9
# Relative energy among the computed polymorphs (meV/atom): 373.4
# Formation energy without anion corrections (eV per atom): -0.10
data_FePCl2
_chemical_formula_sum 'Fe2 P2 Cl4'
_cell_length_a 15.232
_cell_length_b 3.156
_cell_length_c 3.640
_cell_angle_alpha 90.00
_cell_angle_beta 90.72
_cell_angle_gamma 90.00
_symmetry_space_group_name_H-M 'C 1 2/m 1'
_symmetry_Int_Tables_number 12
loop_
_symmetry_equiv_pos_as_xyz
'x,y,z'
'-x,-y,-z'
'-x,y,-z'
'x,-y,z'
'x+1/2,y+1/2,z'
'-x+1/2,-y+1/2,-z'
'-x+1/2,y+1/2,-z'
'x+1/2,-y+1/2,z'
loop_
_atom_site_label
_atom_site_fract_x
_atom_site_fract_y
_atom_site_fract_z
Fe1 0.000 0.000 0.000
P1 0.000 0.500 0.500
Cl1 0.138 0.500 0.774

=====

(5)
# FePCl2 (GGA-PBE, relaxed)
# Crystal system: trigonal
# DFT total energy (Ry/atom): -0.3365
# Volume (Å³ per atom): 19.4
# Relative energy among the computed polymorphs (meV/atom): 286.4
# Formation energy without anion corrections (eV per atom): -0.19
data_FePCl2
_chemical_formula_sum 'Fe3 P3 Cl6'
_cell_length_a 3.2713
_cell_length_b 3.2713
_cell_length_c 25.1267
_cell_angle_alpha 90.00
_cell_angle_beta 90.00
_cell_angle_gamma 120.00
_symmetry_space_group_name_H-M 'R 3 m'
_symmetry_Int_Tables_number 160
_symmetry_space_group_name_Hall 'R 3 -2"'
loop_
_atom_site_label
_atom_site_fract_x
_atom_site_fract_y
_atom_site_fract_z
Fe1 0.0000 0.0000 0.0000
P1 0.0000 0.0000 0.7198
Cl1 0.0000 0.0000 0.2730
Cl2 0.0000 0.0000 0.4601

=====

(6)
# FeP4Cl (GGA-PBE, relaxed)
# Crystal system: cubic
# DFT total energy (Ry/atom): -0.3483
# Volume (Å³ per atom): 19.5
# Formation energy without anion corrections (eV per atom): 0.59
data_FeP4Cl
_chemical_formula_sum 'Fe4 P16 Cl4'
_cell_length_a 7.765
_cell_length_b 7.765
_cell_length_c 7.765
_cell_angle_alpha 90.00
_cell_angle_beta 90.00
_cell_angle_gamma 90.00
_symmetry_space_group_name_H-M 'F -4 3 m'
_symmetry_Int_Tables_number 216
_symmetry_space_group_name_Hall 'F -4 2 3'
loop_
_atom_site_label
_atom_site_fract_x
_atom_site_fract_y
_atom_site_fract_z
Fe1 0.000 0.000 0.000
P1 0.102 0.102 0.398
Cl1 0.250 0.250 0.750

=====

(7)
# FePCl2 (GGA-PBE, relaxed)
# Crystal system: tetragonal
# DFT total energy (Ry/atom): -0.3038
# Volume (Å³ per atom): 24.2
# Relative energy among the computed polymorphs (meV/atom): 732.1
# Formation energy without anion corrections (eV per atom): 0.26
data_FePCl2
_chemical_formula_sum 'Fe1 P1 Cl2'
_cell_length_a 2.936
_cell_length_b 2.936
_cell_length_c 11.213
_cell_angle_alpha 90.00
_cell_angle_beta 90.00
_cell_angle_gamma 90.00
_symmetry_space_group_name_H-M 'P 4/m m m'
_symmetry_Int_Tables_number 123
_symmetry_space_group_name_Hall '-P 4 2'
loop_
_atom_site_label
_atom_site_fract_x
_atom_site_fract_y
_atom_site_fract_z
Fe1 0.000 0.000 0.000
P1 0.000 0.000 0.500
Cl1 0.500 0.500 0.136

=====

(8)
# FePCl2 (GGA-PBE, relaxed)
# Crystal system: orthorhombic
# DFT total energy (Ry/atom): -0.2697
# Volume (Å³ per atom): 17.1
# Relative energy among the computed polymorphs (meV/atom): 1195.1
# Formation energy without anion corrections (eV per atom): 0.72
data_FePCl2
_chemical_formula_sum 'Fe2 P2 Cl4'
_cell_length_a 6.611
_cell_length_b 6.753
_cell_length_c 3.072
_cell_angle_alpha 90.00
_cell_angle_beta 90.00
_cell_angle_gamma 90.00
_symmetry_space_group_name_H-M 'C m m m'
_symmetry_Int_Tables_number 65
_symmetry_space_group_name_Hall '-C 2 2'
loop_
_atom_site_label
_atom_site_fract_x
_atom_site_fract_y
_atom_site_fract_z
Fe1 0.000 0.000 0.000
P1 0.000 0.500 0.000
Cl1 0.250 0.250 0.500

=====

(9)
# FePCl2 (GGA-PBE, relaxed)
# Crystal system: cubic
# DFT total energy (Ry/atom): -0.2723
# Volume (Å³ per atom): 17.3
# Relative energy among the computed polymorphs (meV/atom): 1159.7
# Formation energy without anion corrections (eV per atom): 0.69
data_FePCl2
_chemical_formula_sum 'Fe4 P4 Cl8'
_cell_length_a 6.521
_cell_length_b 6.521
_cell_length_c 6.521
_cell_angle_alpha 90.00
_cell_angle_beta 90.00
_cell_angle_gamma 90.00
_symmetry_space_group_name_H-M 'F -4 3 m'
_symmetry_Int_Tables_number 216
_symmetry_space_group_name_Hall 'F -4 2 3'
loop_
_atom_site_label
_atom_site_fract_x
_atom_site_fract_y
_atom_site_fract_z
Fe1 0.000 0.000 0.000
P1 0.250 0.250 0.250
Cl1 0.000 0.000 0.500
Cl2 0.250 0.250 0.750

=====

(10)
# FeP2Cl (GGA-PBE, relaxed)
# Crystal system: monoclinic
# DFT total energy (Ry/atom): -0.3919
# Volume (Å³ per atom): 16.6
# Relative energy among the computed polymorphs (meV/atom): 162.4
# Formation energy without anion corrections (eV per atom): -0.05
data_FeP2Cl
_chemical_formula_sum 'Fe2 P4 Cl2'
_cell_length_a 6.851
_cell_length_b 3.047
_cell_length_c 7.114
_cell_angle_alpha 90.00
_cell_angle_beta 116.63
_cell_angle_gamma 90.00
_symmetry_space_group_name_H-M 'C 1 2/m 1'
_symmetry_Int_Tables_number 12
loop_
_symmetry_equiv_pos_as_xyz
'x,y,z'
'-x,-y,-z'
'-x,y,-z'
'x,-y,z'
'x+1/2,y+1/2,z'
'-x+1/2,-y+1/2,-z'
'-x+1/2,y+1/2,-z'
'x+1/2,-y+1/2,z'
loop_
_atom_site_label
_atom_site_fract_x
_atom_site_fract_y
_atom_site_fract_z
Fe1 0.000 0.000 0.000
P1 0.135 0.500 0.850
Cl1 0.000 0.000 0.500

=====

(11)
# FePCl2 (GGA-PBE, relaxed)
# Crystal system: orthorhombic
# DFT total energy (Ry/atom): -0.3183
# Volume (Å³ per atom): 22.0
# Relative energy among the computed polymorphs (meV/atom): 534.1
# Formation energy without anion corrections (eV per atom): 0.06
data_FePCl2
_chemical_formula_sum 'Fe2 P2 Cl4'
_cell_length_a 3.106
_cell_length_b 6.324
_cell_length_c 8.943
_cell_angle_alpha 90.00
_cell_angle_beta 90.00
_cell_angle_gamma 90.00
_symmetry_space_group_name_H-M 'C m m 2'
_symmetry_Int_Tables_number 35
loop_
_symmetry_equiv_pos_as_xyz
'x,y,z'
'-x,-y,z'
'-x,y,z'
'x,-y,z'
'x+1/2,y+1/2,z'
'-x+1/2,-y+1/2,z'
'-x+1/2,y+1/2,z'
'x+1/2,-y+1/2,z'
loop_
_atom_site_label
_atom_site_fract_x
_atom_site_fract_y
_atom_site_fract_z
Fe1 0.000 0.000 0.000
P1 0.000 0.500 0.818
Cl1 0.000 0.000 0.599
Cl2 0.000 0.500 0.188

=====

(12)
# FeP2Cl (GGA-PBE, relaxed)
# Crystal system: tetragonal
# DFT total energy (Ry/atom): -0.3557
# Volume (Å³ per atom): 15.5
# Relative energy among the computed polymorphs (meV/atom): 656.2
# Formation energy without anion corrections (eV per atom): 0.44
data_FeP2Cl
_chemical_formula_sum 'Fe2 P4 Cl2'
_cell_length_a 4.915
_cell_length_b 4.915
_cell_length_c 5.140
_cell_angle_alpha 90.00
_cell_angle_beta 90.00
_cell_angle_gamma 90.00
_symmetry_space_group_name_H-M 'I 4/m m m'
_symmetry_Int_Tables_number 139
_symmetry_space_group_name_Hall '-I 4 2'
loop_
_atom_site_label
_atom_site_fract_x
_atom_site_fract_y
_atom_site_fract_z
Fe1 0.000 0.000 0.000
P1 0.000 0.500 0.000
Cl1 0.000 0.000 0.500

=====

Number 1: size of the total moment 6.37 μB/cell. Number 2: size of the total moment 2.83 μB/cell. Number 3: size of the total moment 9.41 μB/cell. Number 4: size of the total moment 6.20 μB/cell. Number 5: size of the total moment 7.00 μB/cell. Number 6: size of the total moment 13.95 μB/cell. Number 7: size of the total moment 4.42 μB/cell. Number 8: size of the total moment 6.78 μB/cell. Number 9: size of the total moment 11.74 μB/cell. Number 10: size of the total moment 0.68 μB/cell. Number 11: size of the total moment 5.38 μB/cell. Number 12: size of the total moment 5.22 μB/cell.